1.
This record from Alexandria via LeMat-Bulk describes an optimized crystal structure of CdAsP. The functional is PBE-GGA.

Computed properties:
* space-group type: I2_12_12_1 (24)
* energy relative to the lowest polymorph listed for this composition: 0.00 eV per formula unit
* total moment: 0.000 μB/atom

Unit cell a=6.0953 b=6.0953 c=6.0953 alpha=135.24 beta=101.65 gamma=95.05
With the nearest neighbours (Å) after each atom.
Atoms (fractional coordinates):
Cd 0.2500 0.3859 0.1359  2 P 2.64, 2 As 2.76
Cd 0.7500 0.1141 0.3641  2 P 2.64, 2 As 2.76
As 0.5581 0.2500 0.8081  2 P 2.35
As 0.9419 0.7500 0.6919  2 P 2.35
P 0.5781 0.8281 0.7500  2 As 2.35
P 0.9219 0.6719 0.2500  2 As 2.35



2.
This record from Alexandria via LeMat-Bulk describes an optimized crystal structure of CdAsP2Pt. The functional is PBE-GGA.

Computed properties:
* space-group type: P4/mmm (123)
* density of states at the Fermi level: 3.7 states/eV per cell
* calculated total energy: -3.39 eV/atom
* total moment: 0.000 μB/atom

Unit cell a=4.6357 b=4.6357 c=5.0552 alpha=90.00 beta=90.00 gamma=90.00
With the nearest neighbours (Å) after each atom.
Atoms (fractional coordinates):
Cd 0.0000 0.0000 0.0000  2 As 2.53
As 0.0000 0.0000 0.5000  4 P 2.32, 2 Cd 2.53
P 0.0000 0.5000 0.5000  2 As 2.32
P 0.5000 0.0000 0.5000  2 As 2.32
Pt 0.5000 0.5000 0.0000  4 Cd 3.28, 8 P 3.43



3.
This record from Alexandria via LeMat-Bulk describes an optimized crystal structure of Cd2AsPPt6. The functional is PBE-GGA.

Computed properties:
* space-group type: P-1 (2)
* density of states at the Fermi level: 4.7 states/eV per cell
* calculated total energy: -5.06 eV/atom
* total moment: 0.000 μB/atom

Unit cell a=5.2953 b=6.2121 c=6.4880 alpha=67.11 beta=70.35 gamma=68.10
With the nearest neighbours (Å) after each atom.
Atoms (fractional coordinates):
Cd 0.2439 0.3663 0.1356  7 Pt 2.85-3.00, 1 Cd 3.18
Cd 0.7561 0.6337 0.8644  7 Pt 2.85-3.00, 1 Cd 3.18
As 0.0000 0.0000 0.0000  6 Pt 2.47-2.50
P 0.5000 0.5000 0.5000  6 Pt 2.34-2.36
Pt 0.0751 0.7147 0.3791  1 P 2.36, 1 As 2.47
Pt 0.2598 0.7851 0.7033  1 P 2.35, 1 As 2.50
Pt 0.4289 0.1375 0.7777  1 P 2.34, 1 As 2.50
Pt 0.5711 0.8625 0.2223  1 P 2.34, 1 As 2.50
Pt 0.7402 0.2149 0.2967  1 P 2.35, 1 As 2.50
Pt 0.9249 0.2853 0.6209  1 P 2.36, 1 As 2.47



4.
This record from Alexandria via LeMat-Bulk describes an optimized crystal structure of RbCd2AsP. The functional is PBE-GGA.

Computed properties:
* space-group type: P4/mmm (123)
* density of states at the Fermi level: 6.6 states/eV per cell
* calculated total energy: -1.30 eV/atom
* total moment: 1.000 μB/atom

Unit cell a=7.5761 b=7.5761 c=6.6501 alpha=90.00 beta=90.00 gamma=90.00
With the nearest neighbours (Å) after each atom.
Atoms (fractional coordinates):
Rb 0.0000 0.0000 0.0000  2 As 3.33
Cd 0.0000 0.5000 0.0000  2 Rb 3.79
Cd 0.5000 0.0000 0.0000  2 Rb 3.79
As 0.0000 0.0000 0.5000  2 Rb 3.33
P 0.5000 0.5000 0.5000  8 Cd 5.04, 4 As 5.36



5.
This record from Alexandria via LeMat-Bulk describes an optimized crystal structure of Rb2CdAsP. The functional is PBE-GGA.

Computed properties:
* space-group type: P4/mmm (123)
* density of states at the Fermi level: 1.5 states/eV per cell
* calculated total energy: -2.28 eV/atom
* total moment: 0.422 μB/atom

Unit cell a=6.8788 b=6.8788 c=4.6776 alpha=90.00 beta=90.00 gamma=90.00
With the nearest neighbours (Å) after each atom.
Atoms (fractional coordinates):
Rb 0.0000 0.5000 0.0000  2 Cd 3.44
Rb 0.5000 0.0000 0.0000  2 Cd 3.44
Cd 0.0000 0.0000 0.0000  2 P 2.34
As 0.5000 0.5000 0.5000  8 Rb 4.16
P 0.0000 0.0000 0.5000  2 Cd 2.34



6.
This record from Alexandria via LeMat-Bulk describes an optimized crystal structure of Cd2AsPRu. The functional is PBE-GGA.

Computed properties:
* space-group type: P4/mmm (123)
* density of states at the Fermi level: 3.8 states/eV per cell
* calculated total energy: -3.30 eV/atom
* total moment: 0.000 μB/atom

Unit cell a=5.0871 b=5.0871 c=4.5947 alpha=90.00 beta=90.00 gamma=90.00
With the nearest neighbours (Å) after each atom.
Atoms (fractional coordinates):
Cd 0.0000 0.5000 0.0000  2 As 2.54
Cd 0.5000 0.0000 0.0000  2 As 2.54
As 0.0000 0.0000 0.0000  2 Ru 2.30, 4 Cd 2.54
P 0.5000 0.5000 0.5000  8 Cd 3.43, 4 Ru 3.60
Ru 0.0000 0.0000 0.5000  2 As 2.30